# 1
The following is a DFT calculation (PBE-GGA) of an optimized crystal structure of PrTmLuZn.

Output
**Fermi-level density of states**: 4.32 states/eV/cell
**Energy**: -3.734 eV/atom
**Energy of formation**: 0.110 eV/f.u.
**Total magnetic moment**: 0.0 μB per formula unit

Unit cell a=5.3497 b=5.3497 c=5.3497 alpha=60.00 beta=60.00 gamma=60.00
Element x y z (fractional)
Pr 0.0000 0.0000 0.0000
Tm 0.5000 0.5000 0.5000
Lu 0.7500 0.7500 0.7500
Zn 0.2500 0.2500 0.2500

# 2
The following is a DFT calculation (PBE-GGA) of an optimized crystal structure of Tl2HgPdCl6.

Output
**Energy**: -2.875 eV/atom
**Formation energy from raw total energies**: -0.745 eV per atom
**Total magnetic moment**: 0.0 μB per formula unit

Unit cell a=6.9006 b=6.9285 c=8.1877 alpha=68.33 beta=68.20 gamma=61.32
Element x y z (fractional)
Tl 0.2099 0.2107 0.3144
Tl 0.7901 0.7893 0.6856
Hg 0.0000 0.0000 0.0000
Pd 0.5000 0.5000 0.5000
Cl 0.2104 0.6745 0.3474
Cl 0.2176 0.2156 0.8877
Cl 0.3221 0.7909 0.6509
Cl 0.6779 0.2091 0.3491
Cl 0.7824 0.7844 0.1123
Cl 0.7896 0.3255 0.6526

# 3
The following is a DFT calculation (PBE-GGA) of an optimized crystal structure of Rb3LaCd.

Output
**Fermi-level density of states**: 10.35 states/eV/cell
**Energy**: -1.119 eV/atom
**Energy of formation**: 3.150 eV/f.u.
**Total magnetic moment**: 0.0 μB per formula unit
**ΔE to the lowest computed polymorph**: 0.000 eV per atom

Unit cell a=6.5691 b=6.5691 c=6.5691 alpha=90.00 beta=90.00 gamma=90.00
Element x y z (fractional)
Rb 0.0000 0.0000 0.5000
Rb 0.0000 0.5000 0.0000
Rb 0.5000 0.0000 0.0000
La 0.5000 0.5000 0.5000
Cd 0.0000 0.0000 0.0000

# 4
The following is a DFT calculation (PBE-GGA) of an optimized crystal structure of Ba3Tl5.

Output
**Fermi-level density of states**: 13.97 states/eV/cell
**Energy**: -2.414 eV/atom
**Energy of formation**: -1.713 eV/f.u.
**Total magnetic moment**: 0.0 μB per formula unit
**ΔE to the lowest computed polymorph**: 0.103 eV per atom

Unit cell a=11.0238 b=11.0238 c=6.0268 alpha=90.00 beta=90.00 gamma=120.00
Element x y z (fractional)
Ba 0.0000 0.3730 0.2500
Ba 0.0000 0.6270 0.7500
Ba 0.3730 0.0000 0.2500
Ba 0.3730 0.3730 0.7500
Ba 0.6270 0.0000 0.7500
Ba 0.6270 0.6270 0.2500
Tl 0.0000 0.1733 0.7500
Tl 0.0000 0.8267 0.2500
Tl 0.1733 0.0000 0.7500
Tl 0.1733 0.1733 0.2500
Tl 0.3333 0.6667 0.0000
Tl 0.3333 0.6667 0.5000
Tl 0.6667 0.3333 0.0000
Tl 0.6667 0.3333 0.5000
Tl 0.8267 0.0000 0.2500
Tl 0.8267 0.8267 0.7500

# 5
The following is a DFT calculation (PBE-GGA) of an optimized crystal structure of Er2AlAu.

Output
**Fermi-level density of states**: 2.06 states/eV/cell
**Energy**: -4.620 eV/atom
**Energy of formation**: -2.334 eV/f.u.
**Total magnetic moment**: 0.0 μB per formula unit
**ΔE to the lowest computed polymorph**: 0.047 eV per atom

Unit cell a=5.0836 b=5.0836 c=5.0836 alpha=60.00 beta=60.00 gamma=60.00
Element x y z (fractional)
Er 0.2500 0.2500 0.2500
Er 0.7500 0.7500 0.7500
Al 0.0000 0.0000 0.0000
Au 0.5000 0.5000 0.5000

# 6
The following is a DFT calculation (PBE-GGA) of an optimized crystal structure of In5SnPb6.

Output
**Fermi-level density of states**: 5.00 states/eV/cell
**Energy**: -3.307 eV/atom
**Energy of formation**: 0.264 eV/f.u.
**Total magnetic moment**: 0.0 μB per formula unit

Unit cell a=7.8525 b=7.8525 c=5.9480 alpha=100.06 beta=100.06 gamma=86.78
Element x y z (fractional)
In 0.0000 0.0000 0.0000
In 0.1695 0.8305 0.5000
In 0.3377 0.6623 0.0000
In 0.6623 0.3377 0.0000
In 0.8305 0.1695 0.5000
Sn 0.5000 0.5000 0.5000
Pb 0.0843 0.4167 0.2496
Pb 0.2483 0.2483 0.7482
Pb 0.4167 0.0843 0.2496
Pb 0.5833 0.9157 0.7504
Pb 0.7517 0.7517 0.2517
Pb 0.9157 0.5833 0.7504